Density functional theory data (PBE) for Ca6H12Ru after structural relaxation.

Unit cell a=9.5239 b=9.5239 c=9.2427 alpha=90.00 beta=90.00 gamma=120.00
Space group R-3 (No. 148, hexagonal axes)
Asymmetric unit:
Ca  0.0574  0.8076  0.1566
H  0.0484  0.8717  0.4019
H  0.0492  0.8047  0.9137
Ru  0.0000  0.0000  0.5000

## Properties
Density of states at the Fermi level, states/eV per cell: 17.3
Total energy, Ry per atom: -0.270